DFT (PBE with a Hubbard U) results for an optimized crystal structure of MnCrWO2.

Properties
* space group: P4/mmm, No. 123
* total DFT energy (no corrections): -6.7162 eV/atom
* size of the total moment: 8.6 μB per formula unit
* Fermi-level density of states: 0.296 states/eV/atom

Unit cell a=3.950 b=3.950 c=5.732 alpha=90.00 beta=90.00 gamma=90.00
Positions (direct):
Mn: 0.000 0.000 0.000
Cr: 0.500 0.500 0.000
W: 0.500 0.500 0.500
O: 0.000 0.500 0.500
O: 0.500 0.000 0.500